DFT (PBE) results for a relaxed Sm2TmAl2Ga2 crystal.

Output
raw total energy: -30.145 eV for the cell shown
calculated density: 6.38 g/cm3
E_form: -0.39 eV/atom
Fermi-level density of states: 6.55 states/eV per cell

Structure (extended XYZ):
```
7
Lattice="2.130 1.230 10.978 -2.130 1.230 10.978 0.000 -2.460 10.978" Properties=species:S:1:pos:R:3 pbc="T T T"
Sm 0.000 0.000 4.050
Sm 0.000 0.000 28.883
Tm 0.000 0.000 0.000
Al 0.000 0.000 12.866
Al 0.000 0.000 20.066
Ga 0.000 0.000 8.833
Ga 0.000 0.000 24.100
```